Density functional theory data (PBE-GGA) for a relaxed GeTePd6 crystal. Values from VASP.

Properties
The calculation puts the total magnetization at 0.00 Bohr magnetons per cell. The density is 10.8 g/cm³. For the uncorrected energy, the calculation gives -40.98 eV per formula unit. The formation energy from raw total energies comes out at -0.258 eV per atom. As for the volume: 16.18 Å³/atom.

Quantum ESPRESSO input file:
```
&SYSTEM
  ibrav = 0, nat = 8, ntyp = 3
/
ATOMIC_SPECIES
Ge 72.64 Ge.upf
Te 127.60 Te.upf
Pd 106.42 Pd.upf
ATOMIC_POSITIONS crystal
Ge 0.000 0.000 0.500
Te 0.000 0.000 0.000
Pd 0.500 0.500 0.000
Pd 0.500 0.500 0.500
Pd 0.500 0.000 0.264
Pd 0.500 0.000 0.736
Pd 0.000 0.500 0.264
Pd 0.000 0.500 0.736
CELL_PARAMETERS angstrom
4.026 0.000 0.000
0.000 4.026 0.000
0.000 0.000 7.989
```

***

Density functional theory data (PBE-GGA) for a relaxed GeTe2Pd8 crystal. Values from VASP.

Properties
The calculation puts the total magnetization at 0.00 Bohr magnetons per cell. The density is 10.6 g/cm³. For the uncorrected energy, the calculation gives -56.28 eV per formula unit. The formation energy from raw total energies comes out at -0.348 eV per atom. As for the volume: 16.76 Å³/atom.

Quantum ESPRESSO input file:
```
&SYSTEM
  ibrav = 0, nat = 44, ntyp = 3
/
ATOMIC_SPECIES
Ge 72.64 Ge.upf
Te 127.60 Te.upf
Pd 106.42 Pd.upf
ATOMIC_POSITIONS crystal
Ge 0.710 0.710 0.870
Ge 0.210 0.210 0.370
Ge 0.051 0.051 0.846
Ge 0.551 0.551 0.346
Te 0.394 0.394 0.819
Te 0.894 0.894 0.319
Te 0.483 0.117 0.596
Te 0.804 0.483 0.596
Te 0.117 0.804 0.596
Te 0.617 0.983 0.096
Te 0.304 0.617 0.096
Te 0.983 0.304 0.096
Pd 0.406 0.925 0.497
Pd 0.172 0.406 0.497
Pd 0.925 0.172 0.497
Pd 0.425 0.906 0.997
Pd 0.672 0.425 0.997
Pd 0.906 0.672 0.997
Pd 0.432 0.697 0.688
Pd 0.182 0.432 0.688
Pd 0.697 0.182 0.688
Pd 0.197 0.932 0.188
Pd 0.682 0.197 0.188
Pd 0.932 0.682 0.188
Pd 0.492 0.492 0.523
Pd 0.992 0.992 0.023
Pd 0.768 0.768 0.697
Pd 0.268 0.268 0.197
Pd 0.110 0.110 0.671
Pd 0.610 0.610 0.171
Pd 0.833 0.833 0.501
Pd 0.333 0.333 0.001
Pd 0.405 0.031 0.798
Pd 0.767 0.405 0.798
Pd 0.031 0.767 0.798
Pd 0.531 0.905 0.298
Pd 0.267 0.531 0.298
Pd 0.905 0.267 0.298
Pd 0.336 0.702 0.895
Pd 0.067 0.336 0.895
Pd 0.702 0.067 0.895
Pd 0.202 0.836 0.395
Pd 0.567 0.202 0.395
Pd 0.836 0.567 0.395
CELL_PARAMETERS angstrom
7.658 0.000 0.000
3.829 6.632 0.000
3.829 2.211 14.524
```

***

Density functional theory data (PBE-GGA) for a relaxed Ge2Te6Pd crystal. Values from VASP.

Properties
The calculation puts the total magnetization at 0.00 Bohr magnetons per cell. The density is 6.2 g/cm³. For the uncorrected energy, the calculation gives -33.57 eV per formula unit. The formation energy from raw total energies comes out at -0.033 eV per atom. As for the volume: 30.16 Å³/atom.

Quantum ESPRESSO input file:
```
&SYSTEM
  ibrav = 0, nat = 18, ntyp = 3
/
ATOMIC_SPECIES
Ge 72.64 Ge.upf
Te 127.60 Te.upf
Pd 106.42 Pd.upf
ATOMIC_POSITIONS crystal
Ge 0.177 0.609 0.768
Ge 0.323 0.232 0.391
Ge 0.823 0.391 0.232
Ge 0.677 0.768 0.609
Te 0.354 0.720 0.502
Te 0.146 0.498 0.280
Te 0.646 0.280 0.498
Te 0.854 0.502 0.720
Te 0.895 0.887 0.373
Te 0.605 0.627 0.113
Te 0.105 0.113 0.627
Te 0.395 0.373 0.887
Te 0.120 0.816 0.980
Te 0.380 0.020 0.184
Te 0.880 0.184 0.020
Te 0.620 0.980 0.816
Pd 0.250 0.100 0.900
Pd 0.750 0.900 0.100
CELL_PARAMETERS angstrom
-3.057 -3.527 -5.262
6.270 -6.200 -0.847
-4.079 -6.028 5.050
```

***

Density functional theory data (PBE-GGA) for a relaxed Ge3Te4Pd crystal. Values from VASP.

Properties
The calculation puts the total magnetization at 0.00 Bohr magnetons per cell. The density is 6.8 g/cm³. For the uncorrected energy, the calculation gives -32.36 eV per formula unit. The formation energy from raw total energies comes out at -0.094 eV per atom. As for the volume: 25.42 Å³/atom.

Quantum ESPRESSO input file:
```
&SYSTEM
  ibrav = 0, nat = 16, ntyp = 3
/
ATOMIC_SPECIES
Ge 72.64 Ge.upf
Te 127.60 Te.upf
Pd 106.42 Pd.upf
ATOMIC_POSITIONS crystal
Ge 0.577 0.751 0.000
Ge 0.084 0.750 0.250
Ge 0.584 0.250 0.250
Ge 0.077 0.249 0.500
Ge 0.584 0.250 0.750
Ge 0.084 0.750 0.750
Te 0.052 0.750 0.000
Te 0.551 0.250 0.000
Te 0.054 0.250 0.236
Te 0.554 0.750 0.264
Te 0.051 0.750 0.500
Te 0.552 0.250 0.500
Te 0.554 0.750 0.736
Te 0.054 0.250 0.764
Pd 0.058 0.250 0.000
Pd 0.558 0.750 0.500
CELL_PARAMETERS angstrom
5.920 0.000 0.000
0.000 5.863 0.000
0.000 0.000 11.719
```

***

Density functional theory data (PBE-GGA) for a relaxed GeTe2Pd8 crystal. Values from VASP.

Properties
The calculation puts the total magnetization at 0.00 Bohr magnetons per cell. The density is 10.3 g/cm³. For the uncorrected energy, the calculation gives -55.52 eV per formula unit. The formation energy from raw total energies comes out at -0.279 eV per atom. As for the volume: 17.35 Å³/atom.

Quantum ESPRESSO input file:
```
&SYSTEM
  ibrav = 0, nat = 11, ntyp = 3
/
ATOMIC_SPECIES
Ge 72.64 Ge.upf
Te 127.60 Te.upf
Pd 106.42 Pd.upf
ATOMIC_POSITIONS crystal
Ge 0.500 0.000 0.000
Te 0.181 0.681 0.362
Te 0.819 0.319 0.638
Pd 0.664 0.910 0.327
Pd 0.336 0.583 0.673
Pd 0.125 0.125 0.251
Pd 0.000 0.306 0.000
Pd 0.875 0.875 0.749
Pd 0.664 0.417 0.327
Pd 0.336 0.090 0.673
Pd 0.000 0.694 0.000
CELL_PARAMETERS angstrom
-3.480 1.952 -0.783
-2.294 -5.921 -4.564
0.329 -0.674 7.408
```

***

Density functional theory data (PBE-GGA) for a relaxed GeTePd6 crystal. Values from VASP.

Properties
The calculation puts the total magnetization at 0.00 Bohr magnetons per cell. The density is 10.1 g/cm³. For the uncorrected energy, the calculation gives -40.61 eV per formula unit. The formation energy from raw total energies comes out at -0.212 eV per atom. As for the volume: 17.21 Å³/atom.

Quantum ESPRESSO input file:
```
&SYSTEM
  ibrav = 0, nat = 8, ntyp = 3
/
ATOMIC_SPECIES
Ge 72.64 Ge.upf
Te 127.60 Te.upf
Pd 106.42 Pd.upf
ATOMIC_POSITIONS crystal
Ge 0.000 0.000 0.000
Te 0.500 0.500 0.500
Pd 0.998 0.474 0.767
Pd 0.761 0.998 0.767
Pd 0.526 0.239 0.232
Pd 0.239 0.002 0.233
Pd 0.002 0.526 0.233
Pd 0.474 0.761 0.768
CELL_PARAMETERS angstrom
-2.089 -2.254 5.532
-0.471 -6.246 0.895
2.871 -2.919 3.516
```

***

Density functional theory data (PBE-GGA) for a relaxed GeTe2Pd8 crystal. Values from VASP.

Properties
The calculation puts the total magnetization at 0.00 Bohr magnetons per cell. The density is 10.4 g/cm³. For the uncorrected energy, the calculation gives -56.05 eV per formula unit. The formation energy from raw total energies comes out at -0.328 eV per atom. As for the volume: 17.06 Å³/atom.

Quantum ESPRESSO input file:
```
&SYSTEM
  ibrav = 0, nat = 11, ntyp = 3
/
ATOMIC_SPECIES
Ge 72.64 Ge.upf
Te 127.60 Te.upf
Pd 106.42 Pd.upf
ATOMIC_POSITIONS crystal
Ge 0.500 0.000 0.000
Te 0.828 0.333 0.655
Te 0.172 0.667 0.345
Pd 0.416 0.573 0.833
Pd 0.668 0.942 0.336
Pd 0.812 0.721 0.624
Pd 0.971 0.177 0.941
Pd 0.188 0.279 0.376
Pd 0.332 0.058 0.664
Pd 0.584 0.427 0.167
Pd 0.029 0.823 0.059
CELL_PARAMETERS angstrom
-0.598 1.660 -3.942
-3.927 -5.127 -1.562
-3.142 4.779 4.855
```

***

Density functional theory data (PBE-GGA) for a relaxed Ge2TePd4 crystal. Values from VASP.

Properties
The calculation puts the total magnetization at 0.00 Bohr magnetons per cell. The density is 7.2 g/cm³. For the uncorrected energy, the calculation gives -31.45 eV per formula unit. The formation energy from raw total energies comes out at 0.243 eV per atom. As for the volume: 22.95 Å³/atom.

Quantum ESPRESSO input file:
```
&SYSTEM
  ibrav = 0, nat = 7, ntyp = 3
/
ATOMIC_SPECIES
Ge 72.64 Ge.upf
Te 127.60 Te.upf
Pd 106.42 Pd.upf
ATOMIC_POSITIONS crystal
Ge 0.395 0.395 0.210
Ge 0.605 0.605 0.790
Te 0.000 0.000 0.000
Pd 0.207 0.207 0.587
Pd 0.793 0.793 0.413
Pd 0.000 0.500 0.000
Pd 0.500 0.000 0.000
CELL_PARAMETERS angstrom
-2.676 3.477 -2.536
-4.289 -2.396 1.241
-3.912 3.999 4.547
```

***

Density functional theory data (PBE-GGA) for a relaxed TlGeTe3Pd crystal. Values from VASP.

Properties
The calculation puts the total magnetization at 0.00 Bohr magnetons per cell. The density is 7.0 g/cm³. For the uncorrected energy, the calculation gives -22.70 eV per formula unit. The formation energy from raw total energies comes out at -0.183 eV per atom. As for the volume: 30.50 Å³/atom.

Quantum ESPRESSO input file:
```
&SYSTEM
  ibrav = 0, nat = 12, ntyp = 4
/
ATOMIC_SPECIES
Tl 204.38 Tl.upf
Ge 72.64 Ge.upf
Te 127.60 Te.upf
Pd 106.42 Pd.upf
ATOMIC_POSITIONS crystal
Tl 0.250 0.238 0.248
Tl 0.750 0.762 0.752
Ge 0.250 0.167 0.619
Ge 0.750 0.833 0.381
Te 0.750 0.898 0.066
Te 0.250 0.102 0.934
Te 0.250 0.746 0.499
Te 0.750 0.254 0.501
Te 0.750 0.546 0.156
Te 0.250 0.454 0.844
Pd 0.250 0.718 0.106
Pd 0.750 0.282 0.894
CELL_PARAMETERS angstrom
4.094 0.000 0.000
0.000 7.979 -0.330
0.000 -4.612 11.395
```

***

- What is the volume in the third record?
  30.16 Å³/atom